{"formula": "LiCo2O4", "functional": "PBE with a Hubbard U", "state": "relaxed", "cell": [[0.2173, 5.3499, 2.1967], [-1.5795, 4.5828, -3.1620], [-4.8479, 2.9214, 1.2073]], "species": ["Li", "Li", "O", "O", "O", "O", "O", "O", "O", "O", "Co", "Co", "Co", "Co"], "fractional_positions": [[0.1211, 0.1211, 0.1211], [0.4995, 0.4995, 0.4995], [0.7064, 0.2496, 0.2496], [0.7403, 0.7403, 0.7403], [0.7476, 0.7476, 0.2918], [0.2496, 0.2496, 0.7064], [0.2496, 0.7064, 0.2496], [0.2629, 0.2629, 0.2629], [0.2918, 0.7476, 0.7476], [0.7476, 0.2918, 0.7476], [0.4989, 0.0052, 0.4989], [0.0052, 0.4989, 0.4989], [0.4989, 0.4989, 0.0052], [0.8806, 0.8806, 0.8806]], "energy_ev_per_atom": -5.71, "mass_density_kg_m3": 4676, "spacegroup": "No. 160", "polymorph_energy_mev_per_atom": 14}